Compound: NaSbTe2Br
Source: Alexandria
Functional: PBEsol
Structure: optimized geometry

a b c (Å): 5.2843 5.2843 5.5709
angles (deg): 90.00 90.00 90.00
With the nearest neighbours (Å) after each atom.
Fractional positions:
Na 0.0000 0.0000 0.0000  4 Te 2.64, 2 Sb 2.79
Sb 0.0000 0.0000 0.5000  2 Na 2.79
Te 0.0000 0.5000 0.0000  2 Na 2.64
Te 0.5000 0.0000 0.0000  2 Na 2.64
Br 0.5000 0.5000 0.5000  4 Sb 3.74, 8 Te 3.84

The energy is -2.3645 eV/atom. The formation energy (no corrections) comes out at 0.61 eV/atom. The density of states at the Fermi level comes out at 5.326 states/eV per cell. Its space group is P4/mmm, No. 123.

---

Compound: YCd2Se
Source: Alexandria
Functional: PBEsol
Structure: optimized geometry

a b c (Å): 5.0221 5.0221 5.0221
angles (deg): 60.00 60.00 60.00
With the nearest neighbours (Å) after each atom.
Fractional positions:
Y 0.0000 0.0000 0.0000  4 Cd 3.08, 4 Se 3.08
Cd 0.5000 0.5000 0.5000  4 Cd 3.08, 4 Se 3.08
Cd 0.7500 0.7500 0.7500  4 Cd 3.08, 4 Y 3.08
Se 0.2500 0.2500 0.2500  4 Cd 3.08, 4 Y 3.08

The energy is -3.7293 eV/atom. The formation energy (no corrections) comes out at -0.46 eV/atom. The density of states at the Fermi level comes out at 2.393 states/eV per cell. Its space group is F-43m, No. 216.

---

Compound: Mn3RuC
Source: Alexandria
Functional: PBEsol
Structure: optimized geometry

a b c (Å): 3.7151 3.7151 3.7151
angles (deg): 90.00 90.00 90.00
With the nearest neighbours (Å) after each atom.
Fractional positions:
Mn 0.0000 0.0000 0.5000  2 C 1.86
Mn 0.0000 0.5000 0.0000  2 C 1.86
Mn 0.5000 0.0000 0.0000  2 C 1.86
Ru 0.5000 0.5000 0.5000  12 Mn 2.63
C 0.0000 0.0000 0.0000  6 Mn 1.86

As for the formation energy from the elements: 0.086 eV per atom. The energy is -9.7336 eV/atom. The density of states at the Fermi level comes out at 4.542 states/eV per cell. Its space group is Pm-3m, No. 221.

---

Compound: MnBe2Al
Source: Alexandria
Functional: PBEsol
Structure: optimized geometry

a b c (Å): 3.5003 3.5003 3.3805
angles (deg): 90.00 90.00 90.00
With the nearest neighbours (Å) after each atom.
Fractional positions:
Mn 0.0000 0.0000 0.0000  8 Be 2.43, 4 Al 2.48
Be 0.0000 0.5000 0.5000  4 Mn 2.43, 4 Al 2.43, 4 Be 2.48
Be 0.5000 0.0000 0.5000  4 Mn 2.43, 4 Al 2.43, 4 Be 2.48
Al 0.5000 0.5000 0.0000  8 Be 2.43, 4 Mn 2.48

As for the formation energy from the elements: -0.102 eV per atom. The energy is -5.5650 eV/atom. The density of states at the Fermi level comes out at 1.632 states/eV per cell. Its space group is P4/mmm, No. 123.